[1]
Entry from Alexandria via LeMat-Bulk: Er4TmZr after structural relaxation (PBE).

Unit cell a=8.2988 b=8.2988 c=6.1815 alpha=100.19 beta=100.19 gamma=116.37
Sites, in units of the cell vectors:
Er: 0.0931 0.7171 0.9591
Er: 0.1777 0.4055 0.6348
Er: 0.2829 0.9069 0.5409
Er: 0.4055 0.1777 0.1348
Er: 0.5945 0.8223 0.8652
Er: 0.7171 0.0931 0.4591
Er: 0.8223 0.5945 0.3652
Er: 0.9069 0.2829 0.0409
Tm: 0.4059 0.5941 0.2500
Tm: 0.5941 0.4059 0.7500
Zr: 0.0025 0.9975 0.7500
Zr: 0.9975 0.0025 0.2500

Calculated values
ΔH_f (0 K)   13 kJ per mole of atoms
Size of the total moment   0.00 μB/f.u.
Excess energy over the best structure of this formula in the dataset   0 meV per atom



[2]
Entry from Alexandria via LeMat-Bulk: TeRhO4 after structural relaxation (PBE).

Unit cell a=5.7657 b=5.7657 c=5.7657 alpha=108.08 beta=108.08 gamma=112.30
Sites, in units of the cell vectors:
Te: 0.0000 0.0000 0.0000
Te: 0.7500 0.2500 0.5000
Rh: 0.2582 0.7582 0.5000
Rh: 0.5082 0.5082 0.0000
O: 0.0103 0.3168 0.3065
O: 0.0103 0.7038 0.6935
O: 0.0668 0.2603 0.8065
O: 0.4538 0.2603 0.1935
O: 0.5051 0.1996 0.6945
O: 0.5051 0.8107 0.3055
O: 0.5607 0.7551 0.8055
O: 0.9496 0.7551 0.1945

Calculated values
Formation energy (no corrections)   -0.79 eV per atom
Size of the total moment   0.00 μB/f.u.
Excess energy over the best structure of this formula in the dataset   0 meV per atom



[3]
Entry from Alexandria via LeMat-Bulk: Pr6Sb3As2Se after structural relaxation (PBE).

Unit cell a=9.9067 b=9.9067 c=8.8795 alpha=103.12 beta=103.12 gamma=25.79
Sites, in units of the cell vectors:
Pr: 0.0042 0.0042 0.2476
Pr: 0.3297 0.3297 0.4256
Pr: 0.3343 0.3343 0.9060
Pr: 0.6657 0.6657 0.0940
Pr: 0.6703 0.6703 0.5744
Pr: 0.9958 0.9958 0.7524
Sb: 0.1654 0.1654 0.8335
Sb: 0.5000 0.5000 0.5000
Sb: 0.8346 0.8346 0.1665
As: 0.1665 0.1665 0.3323
As: 0.8335 0.8335 0.6677
Se: 0.5000 0.5000 0.0000

Calculated values
Formation energy (no corrections)   -1.41 eV per atom
Size of the total moment   0.00 μB/f.u.



[4]
Entry from Alexandria via LeMat-Bulk: Sc2BeP after structural relaxation (PBE).

Unit cell a=3.7417 b=3.7417 c=5.2728 alpha=90.00 beta=90.00 gamma=90.00
Sites, in units of the cell vectors:
Sc: 0.0000 0.0000 0.0000
Sc: 0.5000 0.5000 0.4988
Be: 0.0000 0.0000 0.5004
P: 0.5000 0.5000 0.9988

Calculated values
ΔH_f (0 K)   -44 kJ per mole of atoms
Size of the total moment   0.00 μB/f.u.
Excess energy over the best structure of this formula in the dataset   395 meV per atom



[5]
Entry from Alexandria via LeMat-Bulk: La2ZnPtPb after structural relaxation (PBE).

Unit cell a=7.5380 b=4.6636 c=8.0596 alpha=90.00 beta=108.23 gamma=90.00
Sites, in units of the cell vectors:
La: 0.1356 0.2500 0.3302
La: 0.2984 0.2500 0.9584
La: 0.7016 0.7500 0.0416
La: 0.8644 0.7500 0.6698
Zn: 0.4398 0.7500 0.3150
Zn: 0.5602 0.2500 0.6850
Pt: 0.1143 0.7500 0.0766
Pt: 0.8857 0.2500 0.9234
Pb: 0.3223 0.7500 0.6464
Pb: 0.6777 0.2500 0.3536

Calculated values
ΔH_f (0 K)   -73 kJ per mole of atoms
Size of the total moment   0.00 μB/f.u.
Excess energy over the best structure of this formula in the dataset   0 meV per atom



[6]
Entry from Alexandria via LeMat-Bulk: MgBeMo2 after structural relaxation (PBE).

Unit cell a=9.8189 b=9.8189 c=9.8189 alpha=158.36 beta=158.36 gamma=30.80
Sites, in units of the cell vectors:
Mg: 0.0000 0.0000 0.0000
Mg: 0.7500 0.2500 0.5000
Be: 0.2500 0.7500 0.5000
Be: 0.5000 0.5000 0.0000
Mo: 0.1393 0.6250 0.0143
Mo: 0.3750 0.3893 0.5143
Mo: 0.6107 0.1250 0.9857
Mo: 0.8750 0.8607 0.4857

Calculated values
ΔH_f (0 K)   69 kJ per mole of atoms
Size of the total moment   0.00 μB/f.u.
Excess energy over the best structure of this formula in the dataset   522 meV per atom